VASP calculation (PBE-GGA) on a relaxed NbSnOs2 crystal.

Cell lengths 4.1183, 4.1183, 9.4437 Å; angles 77.41, 77.41, 90.00 degrees
Element x y z (fractional)
Os (0.8750, 0.8243, 0.7500)
Os (0.3750, 0.4257, 0.7500)
Sn (0.7500, 0.2500, 0.5000)
Os (0.5743, 0.1250, 0.2500)
Sn (0.0000, 0.0000, 0.0000)
Os (0.1757, 0.6250, 0.2500)
Nb (0.5000, 0.5000, 0.0000)
Nb (0.2500, 0.7500, 0.5000)

Computed properties:
Formation energy ... 0.74 eV per atom
Volume ... 152.4 Å³/cell
D(E_F) ... 1.047 states/eV per atom
Crystal system ... tetragonal


VASP calculation (PBE-GGA) on a relaxed HoCu2Ge crystal.

Cell lengths 4.1654, 4.1654, 5.2252 Å; angles 66.51, 66.51, 60.00 degrees
Element x y z (fractional)
Cu (0.7893, 0.7893, 0.6322)
Cu (0.2107, 0.2107, 0.3678)
Ge (0.5000, 0.5000, 0.5000)
Ho (0.0000, 0.0000, 0.0000)

Computed properties:
Formation energy ... -0.32 eV per atom
Volume ... 69.7 Å³/cell
D(E_F) ... 0.537 states/eV per atom
Crystal system ... trigonal